(1)
Crystalline K2BiP2 at its relaxed geometry, computed with PBE.

Cell lengths 7.3685, 7.3685, 5.2030 Å; angles 90.00, 90.00, 90.00 degrees
Sites, in units of the cell vectors:
P (0.3954, 0.8954, 0.0000)
P (0.8954, 0.6046, 0.0000)
P (0.6046, 0.1046, 0.0000)
P (0.1046, 0.3954, 0.0000)
K (0.1802, 0.6802, 0.5000)
K (0.6802, 0.8198, 0.5000)
K (0.8198, 0.3198, 0.5000)
K (0.3198, 0.1802, 0.5000)
Bi (0.0000, 0.0000, 0.0000)
Bi (0.5000, 0.5000, 0.0000)

Calculated values
As for the size of the total moment: 0.0 μB/f.u. The formation energy from the elements comes out at -265 meV per atom. As for the space group: P4/mbm, No. 127.

---

(2)
Crystalline Li4ZrSc3Se8 at its relaxed geometry, computed with PBE.

Cell lengths 7.6890, 7.8321, 7.6889 Å; angles 119.42, 120.00, 90.00 degrees
Sites, in units of the cell vectors:
Li (0.5000, 0.0000, 0.0000)
Li (0.5000, 0.0000, 0.5000)
Li (0.0000, 0.0000, 0.0000)
Li (0.0000, 0.0000, 0.5000)
Zr (0.0000, 0.5000, 0.0000)
Sc (0.5000, 0.5000, 0.0000)
Sc (0.5000, 0.5000, 0.5000)
Sc (0.0000, 0.5000, 0.5000)
Se (0.2491, 0.7465, 0.9976)
Se (0.2491, 0.7465, 0.4982)
Se (0.2519, 0.2559, 0.5038)
Se (0.7484, 0.7465, 0.9976)
Se (0.2516, 0.2535, 0.0024)
Se (0.7481, 0.7441, 0.4962)
Se (0.7509, 0.2535, 0.5018)
Se (0.7509, 0.2535, 0.0024)

Calculated values
As for the size of the total moment: 0.0 μB/f.u. As for the space group: R-3m, No. 166. The calculation puts the uncorrected formation energy at -24.4 eV per formula unit.

---

(3)
Crystalline LiZnInF6 at its relaxed geometry, computed with PBE.

Cell lengths 9.0721, 9.0721, 4.7131 Å; angles 90.00, 90.00, 120.00 degrees
Sites, in units of the cell vectors:
Li (0.6992, 0.0000, 0.5000)
Li (0.0000, 0.6992, 0.5000)
Li (0.3008, 0.3008, 0.5000)
Zn (0.3564, 0.0000, 0.0000)
Zn (0.0000, 0.3564, 0.0000)
Zn (0.6436, 0.6436, 0.0000)
In (0.0000, 0.0000, 0.0000)
In (0.3333, 0.6667, 0.4980)
In (0.6667, 0.3333, 0.5020)
F (0.1080, 0.5659, 0.2549)
F (0.4341, 0.5421, 0.2549)
F (0.5659, 0.1080, 0.7451)
F (0.4579, 0.8920, 0.2549)
F (0.5421, 0.4341, 0.7451)
F (0.8920, 0.4579, 0.7451)
F (0.1026, 0.2280, 0.2344)
F (0.7720, 0.8746, 0.2344)
F (0.2280, 0.1026, 0.7656)
F (0.1254, 0.8974, 0.2344)
F (0.8746, 0.7720, 0.7656)
F (0.8974, 0.1254, 0.7656)
F (0.4403, 0.2131, 0.2629)
F (0.7869, 0.2272, 0.2629)
F (0.2131, 0.4403, 0.7371)
F (0.7728, 0.5597, 0.2629)
F (0.2272, 0.7869, 0.7371)
F (0.5597, 0.7728, 0.7371)

Calculated values
As for the size of the total moment: 0.0 μB/f.u. As for the space group: P321, No. 150. For the energy above the most stable polymorph in this dataset, the calculation gives 0.022 eV per atom. The calculation puts the uncorrected formation energy at -22.8 eV per formula unit.

---

(4)
Crystalline VSiP at its relaxed geometry, computed with PBE.

Cell lengths 6.3138, 3.1241, 8.2178 Å; angles 90.00, 112.61, 90.00 degrees
Sites, in units of the cell vectors:
P (0.9082, 0.0000, 0.8350)
P (0.0918, 0.0000, 0.1650)
P (0.9082, 0.5000, 0.3350)
P (0.0918, 0.5000, 0.6650)
Si (0.4241, 0.0000, 0.8387)
Si (0.5759, 0.0000, 0.1613)
Si (0.4241, 0.5000, 0.3387)
Si (0.5759, 0.5000, 0.6613)
V (0.7638, 0.0000, 0.5019)
V (0.2362, 0.0000, 0.4981)
V (0.7638, 0.5000, 0.0019)
V (0.2362, 0.5000, 0.9981)

Calculated values
As for the size of the total moment: 0.0 μB/f.u. As for the space group: C2/m, No. 12. The calculation puts the uncorrected formation energy at -1.5 eV per formula unit.

---

(5)
Crystalline PaZnPb2O6 at its relaxed geometry, computed with PBE.

Cell lengths 5.9226, 5.9224, 6.0087 Å; angles 60.47, 60.47, 60.00 degrees
Sites, in units of the cell vectors:
Pa (0.8146, 0.8146, 0.5561)
Zn (0.3109, 0.3109, 0.0673)
Pb (0.5441, 0.5441, 0.3677)
Pb (0.0358, 0.0358, 0.8926)
O (0.5948, 0.1444, 0.2698)
O (0.1444, 0.9910, 0.2699)
O (0.9910, 0.5947, 0.2698)
O (0.4613, 0.6717, 0.7740)
O (0.6716, 0.0930, 0.7741)
O (0.0930, 0.4613, 0.7740)

Calculated values
As for the size of the total moment: 0.0 μB/f.u. As for the space group: R3, No. 146. The calculation puts the uncorrected formation energy at -18.7 eV per formula unit.

---

(6)
Crystalline Ba2LiCd3Hg12 at its relaxed geometry, computed with PBE.

Cell lengths 13.2190, 13.2190, 13.2190 Å; angles 30.50, 30.50, 30.50 degrees
Sites, in units of the cell vectors:
Ba (0.6379, 0.6379, 0.6379)
Ba (0.3621, 0.3621, 0.3621)
Li (0.0000, 0.0000, 0.0000)
Cd (0.5000, 0.0000, 0.0000)
Cd (0.0000, 0.5000, 0.0000)
Cd (0.0000, 0.0000, 0.5000)
Hg (0.4042, 0.4042, 0.8577)
Hg (0.8883, 0.8883, 0.3806)
Hg (0.3806, 0.8883, 0.8883)
Hg (0.8577, 0.4042, 0.4042)
Hg (0.8883, 0.3806, 0.8883)
Hg (0.4042, 0.8577, 0.4042)
Hg (0.5958, 0.5958, 0.1423)
Hg (0.1117, 0.1117, 0.6194)
Hg (0.6194, 0.1117, 0.1117)
Hg (0.1423, 0.5958, 0.5958)
Hg (0.1117, 0.6194, 0.1117)
Hg (0.5958, 0.1423, 0.5958)

Calculated values
As for the size of the total moment: 0.0 μB/f.u. The formation energy from the elements comes out at -182 meV per atom. As for the space group: R-3m, No. 166.

---

(7)
Crystalline LiLaAl2Rh at its relaxed geometry, computed with PBE.

Cell lengths 4.7090, 4.7090, 4.7476 Å; angles 90.00, 90.00, 90.00 degrees
Sites, in units of the cell vectors:
Li (0.0000, 0.0000, 0.5000)
Rh (0.0000, 0.0000, 0.0000)
Al (0.0000, 0.5000, 0.0000)
Al (0.5000, 0.0000, 0.0000)
La (0.5000, 0.5000, 0.5000)

Calculated values
As for the size of the total moment: 0.0 μB/f.u. The formation energy from the elements comes out at -490 meV per atom. As for the space group: P4/mmm, No. 123.

---

(8)
Crystalline LaScOs at its relaxed geometry, computed with PBE.

Cell lengths 4.3679, 4.3679, 7.4258 Å; angles 90.00, 90.00, 90.00 degrees
Sites, in units of the cell vectors:
La (0.0000, 0.5000, 0.8587)
La (0.5000, 0.0000, 0.1413)
Sc (0.5000, 0.5000, 0.5000)
Sc (0.0000, 0.0000, 0.5000)
Os (0.0000, 0.5000, 0.2705)
Os (0.5000, 0.0000, 0.7295)

Calculated values
As for the size of the total moment: 0.0 μB/f.u. The formation energy from the elements comes out at -264 meV per atom. As for the space group: P4/nmm, No. 129. For the energy above the most stable polymorph in this dataset, the calculation gives 0.000 eV per atom.

---

(9)
Crystalline BaNiRu3 at its relaxed geometry, computed with PBE.

Cell lengths 4.9674, 4.9674, 4.9674 Å; angles 90.00, 90.00, 90.00 degrees
Each line ends with the local moment (μB).
Sites, in units of the cell vectors:
Ru (0.0000, 0.5000, 0.0000)  1.42
Ru (0.0000, 0.0000, 0.5000)  1.23
Ru (0.5000, 0.0000, 0.0000)  1.32
Ba (0.0000, 0.0000, 0.0000)  -0.06
Ni (0.5000, 0.5000, 0.5000)  0.91

Calculated values
As for the size of the total moment: 4.8 μB/f.u. The formation energy from the elements comes out at 2935 meV per atom. As for the space group: Pm-3m, No. 221. For the energy above the most stable polymorph in this dataset, the calculation gives 1.819 eV per atom.

---

(10)
Crystalline Zn2CdIrSe at its relaxed geometry, computed with PBE.

Cell lengths 4.6816, 5.1454, 4.6816 Å; angles 90.00, 90.00, 90.00 degrees
Sites, in units of the cell vectors:
Zn (0.0000, 0.0000, 0.5000)
Zn (0.5000, 0.0000, 0.0000)
Ir (0.5000, 0.5000, 0.5000)
Se (0.0000, 0.0000, 0.0000)
Cd (0.0000, 0.5000, 0.0000)

Calculated values
As for the size of the total moment: 0.0 μB/f.u. As for the space group: P4/mmm, No. 123. For the energy above the most stable polymorph in this dataset, the calculation gives 0.000 eV per atom. The calculation puts the uncorrected formation energy at 5.1 eV per formula unit.

---

(11)
Crystalline Dy3Zn2Ag4 at its relaxed geometry, computed with PBE.

Cell lengths 4.6597, 5.7784, 8.8257 Å; angles 115.16, 90.00, 113.78 degrees
Sites, in units of the cell vectors:
Dy (0.6612, 0.3223, 0.6731)
Dy (0.0000, 0.0000, 0.0000)
Dy (0.3388, 0.6777, 0.3269)
Zn (0.6228, 0.2456, 0.2921)
Zn (0.3772, 0.7544, 0.7079)
Ag (0.7194, 0.4388, 0.0631)
Ag (0.2806, 0.5612, 0.9369)
Ag (0.9326, 0.8652, 0.6062)
Ag (0.0674, 0.1348, 0.3938)

Calculated values
As for the size of the total moment: 0.0 μB/f.u. The formation energy from the elements comes out at -303 meV per atom. As for the space group: C2/m, No. 12.

---

(12)
Crystalline PuSn3Rh7 at its relaxed geometry, computed with PBE.

Cell lengths 5.3188, 7.1037, 7.1037 Å; angles 83.87, 119.60, 119.60 degrees
Each line ends with the local moment (μB).
Sites, in units of the cell vectors:
Pu (0.5000, 0.5000, 0.5000)  4.44
Sn (0.0000, 0.7758, 0.2242)  0.01
Sn (0.5000, 0.0000, 0.0000)  0.01
Sn (0.0000, 0.2242, 0.7758)  0.01
Rh (0.3478, 0.2009, 0.2009)  -0.19
Rh (0.3244, 0.0573, 0.5872)  -0.17
Rh (0.6756, 0.4128, 0.9427)  -0.17
Rh (0.3244, 0.5872, 0.0573)  -0.17
Rh (0.0000, 0.5000, 0.5000)  -0.25
Rh (0.6756, 0.9427, 0.4128)  -0.17
Rh (0.6522, 0.7991, 0.7991)  -0.19

Calculated values
As for the size of the total moment: 3.3 μB/f.u. The formation energy from the elements comes out at -186 meV per atom. As for the space group: C2/m, No. 12.

---

(13)
Crystalline SrCuAgGe2 at its relaxed geometry, computed with PBE.

Cell lengths 4.4176, 4.4176, 6.1465 Å; angles 111.06, 111.06, 90.00 degrees
Sites, in units of the cell vectors:
Sr (0.0000, 0.0000, 0.0000)
Cu (0.2500, 0.7500, 0.5000)
Ag (0.7500, 0.2500, 0.5000)
Ge (0.6191, 0.6191, 0.2383)
Ge (0.3809, 0.3809, 0.7617)

Calculated values
As for the size of the total moment: 0.0 μB/f.u. The formation energy from the elements comes out at -324 meV per atom. As for the space group: I-4m2, No. 119.

---

(14)
Crystalline Tl2CuNi at its relaxed geometry, computed with PBE.

Cell lengths 4.0521, 3.7797, 5.3346 Å; angles 69.36, 90.00, 90.00 degrees
Sites, in units of the cell vectors:
Cu (0.0000, 0.6950, 0.4839)
Ni (0.5000, 0.5524, 0.7705)
Tl (0.0000, 0.9778, 0.9173)
Tl (0.5000, 0.2748, 0.3283)

Calculated values
As for the size of the total moment: 0.0 μB/f.u. The formation energy from the elements comes out at 251 meV per atom. As for the space group: Pm, No. 6.

---

(15)
Crystalline Al3PdCl12 at its relaxed geometry, computed with PBE.

Cell lengths 11.8347, 11.8347, 12.3153 Å; angles 61.28, 61.28, 60.00 degrees
Each line ends with the local moment (μB).
Sites, in units of the cell vectors:
Al (0.6619, 0.3747, 0.0186)  0.00
Al (0.1619, 0.4448, 0.5186)  0.00
Al (0.8747, 0.1619, 0.5186)  0.00
Al (0.3747, 0.9448, 0.0186)  0.00
Al (0.9448, 0.6619, 0.0186)  0.00
Al (0.4448, 0.8747, 0.5186)  0.00
Pd (0.1586, 0.1586, 0.5243)  0.54
Pd (0.6586, 0.6586, 0.0243)  0.54
Cl (0.1773, 0.9347, 0.1090)  0.00
Cl (0.0310, 0.3108, 0.6582)  0.06
Cl (0.9027, 0.0429, 0.4199)  0.00
Cl (0.7967, 0.5058, 0.8903)  0.06
Cl (0.2967, 0.3071, 0.3903)  0.06
Cl (0.4027, 0.1345, 0.9199)  0.00
Cl (0.5310, 0.5000, 0.1582)  0.06
Cl (0.0429, 0.6345, 0.4199)  0.00
Cl (0.6773, 0.2789, 0.6090)  0.00
Cl (0.0000, 0.0310, 0.6582)  0.06
Cl (0.0058, 0.2967, 0.3903)  0.06
Cl (0.2789, 0.4347, 0.6090)  0.00
Cl (0.1345, 0.5429, 0.9199)  0.00
Cl (0.7789, 0.1773, 0.1090)  0.00
Cl (0.5058, 0.8071, 0.8903)  0.06
Cl (0.5000, 0.8108, 0.1582)  0.06
Cl (0.8108, 0.5310, 0.1582)  0.06
Cl (0.5429, 0.4027, 0.9199)  0.00
Cl (0.4347, 0.6773, 0.6090)  0.00
Cl (0.8071, 0.7967, 0.8903)  0.06
Cl (0.3071, 0.0058, 0.3903)  0.06
Cl (0.9347, 0.7789, 0.1090)  0.00
Cl (0.3108, 0.0000, 0.6582)  0.06
Cl (0.6345, 0.9027, 0.4199)  0.00

Calculated values
As for the size of the total moment: 1.0 μB/f.u. As for the space group: R3c, No. 161. The calculation puts the uncorrected formation energy at -19.2 eV per formula unit.

---

(16)
Crystalline KSr4Bi4 at its relaxed geometry, computed with PBE.

Cell lengths 6.7807, 11.1101, 11.1101 Å; angles 90.00, 90.00, 90.00 degrees
Sites, in units of the cell vectors:
K (0.0000, 0.0000, 0.0000)
K (0.5000, 0.5000, 0.5000)
Sr (0.3974, 0.3467, 0.8820)
Sr (0.8974, 0.6180, 0.8467)
Sr (0.3974, 0.6533, 0.1180)
Sr (0.1026, 0.1533, 0.6180)
Sr (0.6026, 0.8820, 0.6533)
Sr (0.1026, 0.8467, 0.3820)
Sr (0.8974, 0.3820, 0.1533)
Sr (0.6026, 0.1180, 0.3467)
Bi (0.6009, 0.8075, 0.3511)
Bi (0.6009, 0.1925, 0.6489)
Bi (0.1009, 0.8511, 0.6925)
Bi (0.8991, 0.3075, 0.8511)
Bi (0.8991, 0.6925, 0.1489)
Bi (0.3991, 0.3511, 0.1925)
Bi (0.3991, 0.6489, 0.8075)
Bi (0.1009, 0.1489, 0.3075)

Calculated values
As for the size of the total moment: 0.0 μB/f.u. The formation energy from the elements comes out at -634 meV per atom. As for the space group: P4_2/n, No. 86.

---

(17)
Crystalline V2CrCl6 at its relaxed geometry, computed with PBE.

Cell lengths 3.5927, 7.0802, 9.7549 Å; angles 109.72, 90.00, 104.70 degrees
Each line ends with the local moment (μB).
Sites, in units of the cell vectors:
V (0.6622, 0.3244, 0.8412)  2.56
V (0.3378, 0.6757, 0.1588)  2.56
Cr (0.0000, 0.0000, 0.5000)  3.81
Cl (0.2961, 0.5922, 0.8888)  -0.03
Cl (0.7039, 0.4078, 0.1112)  -0.03
Cl (0.9670, 0.9340, 0.1984)  0.01
Cl (0.6308, 0.2616, 0.5752)  -0.04
Cl (0.0330, 0.0660, 0.8016)  0.01
Cl (0.3692, 0.7384, 0.4248)  -0.04

Calculated values
As for the size of the total moment: 10.0 μB/f.u. As for the space group: C2/m, No. 12. For the energy above the most stable polymorph in this dataset, the calculation gives 0.000 eV per atom. The calculation puts the uncorrected formation energy at -9.5 eV per formula unit.

---

(18)
Crystalline SrScIn at its relaxed geometry, computed with PBE.

Cell lengths 5.2898, 5.2898, 5.2898 Å; angles 60.00, 60.00, 60.00 degrees
Sites, in units of the cell vectors:
In (0.0000, 0.0000, 0.0000)
Sc (0.5000, 0.5000, 0.5000)
Sr (0.7500, 0.7500, 0.7500)

Calculated values
As for the size of the total moment: 0.0 μB/f.u. The formation energy from the elements comes out at 573 meV per atom. As for the space group: F-43m, No. 216. For the energy above the most stable polymorph in this dataset, the calculation gives 0.888 eV per atom.

---

(19)
Crystalline ErVGa at its relaxed geometry, computed with PBE.

Cell lengths 3.4433, 3.4433, 5.6084 Å; angles 107.88, 107.88, 90.00 degrees
Each line ends with the local moment (μB).
Sites, in units of the cell vectors:
V (0.9244, 0.9244, 0.8488)  2.19
Ga (0.3091, 0.3091, 0.6182)  0.01
Er (0.6165, 0.6165, 0.2330)  0.23

Calculated values
As for the size of the total moment: 2.8 μB/f.u. The formation energy from the elements comes out at -57 meV per atom. As for the space group: I4mm, No. 107. For the energy above the most stable polymorph in this dataset, the calculation gives 0.132 eV per atom.

---

(20)
Crystalline K2GeOsPt at its relaxed geometry, computed with PBE.

Cell lengths 6.3686, 4.5799, 6.3686 Å; angles 90.00, 90.00, 90.00 degrees
Each line ends with the local moment (μB).
Sites, in units of the cell vectors:
Ge (0.0000, 0.0000, 0.0000)  -0.04
Os (0.5000, 0.5000, 0.5000)  2.86
K (0.0000, 0.0000, 0.5000)  -0.01
K (0.5000, 0.0000, 0.0000)  -0.01
Pt (0.0000, 0.5000, 0.0000)  0.00

Calculated values
As for the size of the total moment: 3.1 μB/f.u. The formation energy from the elements comes out at 1263 meV per atom. As for the space group: P4/mmm, No. 123.

---

(21)
Crystalline Y2AgAu6 at its relaxed geometry, computed with PBE.

Cell lengths 5.1793, 5.2107, 8.3067 Å; angles 71.72, 81.05, 60.25 degrees
Sites, in units of the cell vectors:
Y (0.5000, 0.8413, 0.8174)
Y (0.5000, 0.1587, 0.1826)
Ag (0.0000, 0.0000, 0.5000)
Au (0.1731, 0.8345, 0.1598)
Au (0.8269, 0.5056, 0.1598)
Au (0.8269, 0.1655, 0.8402)
Au (0.1731, 0.4944, 0.8402)
Au (0.3202, 0.3523, 0.5000)
Au (0.6798, 0.6477, 0.5000)

Calculated values
As for the size of the total moment: 0.0 μB/f.u. The formation energy from the elements comes out at -539 meV per atom. As for the space group: C2/m, No. 12.